(1)
KCr2Se | SCAN | PBEsol geometry

As for the uncorrected formation energy: -0.20 eV/atom. The value obtained for the density of states at the Fermi level is 0.7 states/eV/cell.

The structure belongs to space group Pm (No. 6); the cell edges are 3.2206, 3.9508 and 6.8602 Å and the angles 90.00°, 90.47° and 90.00°. The inequivalent atoms are K at (0.0000, 0.0000, 0.0000), Cr at (0.0097, 0.5000, 0.5620), Cr at (0.5083, 0.0000, 0.5327) and Se at (0.5051, 0.5000, 0.2969).

(2)
K2CrSi | SCAN | PBEsol geometry

As for the uncorrected formation energy: 0.27 eV/atom. The value obtained for the density of states at the Fermi level is 2.1 states/eV/cell.

The structure belongs to space group Pm (No. 6); the cell edges are 3.2282, 3.6925 and 10.0563 Å and the angles 90.00°, 91.37° and 90.00°. The inequivalent atoms are K at (0.0000, 0.0000, 0.0000), K at (0.4512, 0.5000, 0.3984), Cr at (0.4746, 0.0000, 0.6949) and Si at (0.9750, 0.5000, 0.7016).

(3)
K2CrSi | SCAN | PBEsol geometry

As for the uncorrected formation energy: 0.66 eV/atom. The value obtained for the density of states at the Fermi level is 2.4 states/eV/cell.

The structure belongs to space group P4/mmm (No. 123); the cell edges are 4.2213, 4.2213 and 5.5155 Å and the angles 90.00°, 90.00° and 90.00°. The inequivalent atoms are K at (0.0000, 0.5000, 0.0000), Cr at (0.0000, 0.0000, 0.5000) and Si at (0.5000, 0.5000, 0.5000).

(4)
K3CrSi | SCAN | PBEsol geometry

As for the uncorrected formation energy: 0.76 eV/atom. The value obtained for the density of states at the Fermi level is 2.0 states/eV/cell.

The structure belongs to space group Pm-3m (No. 221); the cell edges are 6.3596, 6.3596 and 6.3596 Å and the angles 90.00°, 90.00° and 90.00°. The inequivalent atoms are K at (0.0000, 0.0000, 0.5000), Cr at (0.5000, 0.5000, 0.5000) and Si at (0.0000, 0.0000, 0.0000).

(5)
K2CrSi | SCAN | PBEsol geometry

As for the uncorrected formation energy: 0.50 eV/atom. The value obtained for the density of states at the Fermi level is 9.4 states/eV/cell.

The structure belongs to space group F-43m (No. 216); the cell edges are 7.3623, 7.3623 and 7.3623 Å and the angles 90.00°, 90.00° and 90.00°. The inequivalent atoms are K at (0.0000, 0.0000, 0.0000), K at (0.2500, 0.2500, 0.2500), Cr at (0.0000, 0.0000, 0.5000) and Si at (0.2500, 0.2500, 0.7500).

(6)
KCr2SnTe | SCAN | PBEsol geometry

As for the uncorrected formation energy: 1.31 eV/atom. The value obtained for the density of states at the Fermi level is 2.0 states/eV/cell.

The structure belongs to space group P4/mmm (No. 123); the cell edges are 5.2242, 5.2242 and 5.8237 Å and the angles 90.00°, 90.00° and 90.00°. The inequivalent atoms are K at (0.0000, 0.0000, 0.0000), Cr at (0.0000, 0.5000, 0.0000), Sn at (0.5000, 0.5000, 0.5000) and Te at (0.0000, 0.0000, 0.5000).

(7)
KSr2Cr | SCAN | PBEsol geometry

The formation energy comes out at 284.6 meV/atom. The value obtained for the density of states at the Fermi level is 2.6 states/eV/cell. The value obtained for the excess energy over the best structure of this formula in the dataset is 0 meV/atom.

The structure belongs to space group P4/mmm (No. 123); the cell edges are 4.0257, 4.0257 and 10.8418 Å and the angles 90.00°, 90.00° and 90.00°. The inequivalent atoms are K at (0.0000, 0.0000, 0.0000), Sr at (0.5000, 0.5000, 0.3218) and Cr at (0.0000, 0.0000, 0.5000).

(8)
KSr2Cr | SCAN | PBEsol geometry

The formation energy comes out at 409.7 meV/atom. The value obtained for the density of states at the Fermi level is 21.8 states/eV/cell. The value obtained for the excess energy over the best structure of this formula in the dataset is 125 meV/atom.

The structure belongs to space group Fm-3m (No. 225); the cell edges are 8.6121, 8.6121 and 8.6121 Å and the angles 90.00°, 90.00° and 90.00°. The inequivalent atoms are K at (0.0000, 0.0000, 0.0000), Sr at (0.2500, 0.2500, 0.2500) and Cr at (0.0000, 0.0000, 0.5000).

(9)
KSrCr | SCAN | PBEsol geometry

The formation energy comes out at 504.1 meV/atom. The value obtained for the density of states at the Fermi level is 4.1 states/eV/cell.

The structure belongs to space group I4mm (No. 107); the cell edges are 4.0023, 4.0023 and 15.5689 Å and the angles 90.00°, 90.00° and 90.00°. The inequivalent atoms are K at (0.0000, 0.0000, 0.0000), Sr at (0.0000, 0.0000, 0.7290) and Cr at (0.0000, 0.0000, 0.3476).

(10)
K2TaCr | SCAN | PBEsol geometry

The formation energy comes out at 1281.7 meV/atom. The value obtained for the density of states at the Fermi level is 7.2 states/eV/cell. The value obtained for the excess energy over the best structure of this formula in the dataset is 438 meV/atom.

The structure belongs to space group Cmmm (No. 65); the cell edges are 3.0740, 5.1381 and 12.5528 Å and the angles 90.00°, 90.00° and 90.00°. The inequivalent atoms are K at (0.0000, 0.0000, 0.2454), Ta at (0.0000, 0.5000, 0.5000) and Cr at (0.0000, 0.5000, 0.0000).

(11)
KTa2Cr | SCAN | PBEsol geometry

The formation energy comes out at 941.9 meV/atom. The value obtained for the density of states at the Fermi level is 8.3 states/eV/cell. The value obtained for the excess energy over the best structure of this formula in the dataset is 0 meV/atom.

The structure belongs to space group Cm (No. 8); the cell edges are 8.8513, 2.8744 and 7.5302 Å and the angles 90.00°, 92.76° and 90.00°. The inequivalent atoms are K at (0.0000, 0.0000, 0.0000), Ta at (0.2323, 0.0000, 0.6410), Ta at (0.4963, 0.0000, 0.4757) and Cr at (0.2598, 0.5000, 0.3460).

(12)
K4TaCr | SCAN | PBEsol geometry

The formation energy comes out at 1482.0 meV/atom. The value obtained for the density of states at the Fermi level is 21.5 states/eV/cell.

The structure belongs to space group F-43m (No. 216); the cell edges are 9.7173, 9.7173 and 9.7173 Å and the angles 90.00°, 90.00° and 90.00°. The inequivalent atoms are K at (0.1247, 0.1247, 0.1247), Ta at (0.2500, 0.2500, 0.7500) and Cr at (0.0000, 0.0000, 0.5000).

(13)
KTaCr2 | SCAN | PBEsol geometry

The formation energy comes out at 642.0 meV/atom. The value obtained for the density of states at the Fermi level is 1.9 states/eV/cell. The value obtained for the excess energy over the best structure of this formula in the dataset is 0 meV/atom.

The structure belongs to space group P4mm (No. 99); the cell edges are 2.9122, 2.9122 and 9.1086 Å and the angles 90.00°, 90.00° and 90.00°. The inequivalent atoms are K at (0.0000, 0.0000, 0.0000), Ta at (0.5000, 0.5000, 0.3630), Cr at (0.0000, 0.0000, 0.5514) and Cr at (0.5000, 0.5000, 0.6860).

(14)
KTaCr2 | SCAN | PBEsol geometry

The formation energy comes out at 879.8 meV/atom. The value obtained for the density of states at the Fermi level is 7.1 states/eV/cell. The value obtained for the excess energy over the best structure of this formula in the dataset is 238 meV/atom.

The structure belongs to space group Cmm2 (No. 35); the cell edges are 2.9950, 4.6231 and 10.0117 Å and the angles 90.00°, 90.00° and 90.00°. The inequivalent atoms are K at (0.0000, 0.0000, 0.0000), Ta at (0.0000, 0.5000, 0.6740), Cr at (0.0000, 0.0000, 0.4590) and Cr at (0.0000, 0.5000, 0.2973).

(15)
KTa2Cr | SCAN | PBEsol geometry

The formation energy comes out at 1331.0 meV/atom. The value obtained for the density of states at the Fermi level is 6.7 states/eV/cell. The value obtained for the excess energy over the best structure of this formula in the dataset is 389 meV/atom.

The structure belongs to space group Cmmm (No. 65); the cell edges are 5.5801, 10.2019 and 2.7331 Å and the angles 90.00°, 90.00° and 90.00°. The inequivalent atoms are K at (0.0000, 0.0000, 0.0000), Ta at (0.2500, 0.2500, 0.5000) and Cr at (0.0000, 0.5000, 0.0000).

(16)
K2TaCr | SCAN | PBEsol geometry

The formation energy comes out at 843.7 meV/atom. The value obtained for the density of states at the Fermi level is 5.8 states/eV/cell. The value obtained for the excess energy over the best structure of this formula in the dataset is 0 meV/atom.

The structure belongs to space group C2/m (No. 12); the cell edges are 21.3796, 3.0382 and 3.9307 Å and the angles 90.00°, 100.19° and 90.00°. The inequivalent atoms are K at (0.1494, 0.0000, 0.1450), Ta at (0.0000, 0.0000, 0.5000) and Cr at (0.0000, 0.5000, 0.0000).

(17)
KTa2Cr | SCAN | PBEsol geometry

The formation energy comes out at 1159.1 meV/atom. The value obtained for the density of states at the Fermi level is 6.2 states/eV/cell. The value obtained for the excess energy over the best structure of this formula in the dataset is 217 meV/atom.

The structure belongs to space group Immm (No. 71); the cell edges are 2.8168, 5.5251 and 10.3139 Å and the angles 90.00°, 90.00° and 90.00°. The inequivalent atoms are K at (0.0000, 0.0000, 0.0000), Ta at (0.0000, 0.5000, 0.1995) and Cr at (0.0000, 0.0000, 0.5000).

(18)
KZrTaCr2 | SCAN | PBEsol geometry

The formation energy comes out at 2316.6 meV/atom. The value obtained for the density of states at the Fermi level is 4.9 states/eV/cell.

The structure belongs to space group P4/mmm (No. 123); the cell edges are 4.3292, 4.3292 and 4.6828 Å and the angles 90.00°, 90.00° and 90.00°. The inequivalent atoms are K at (0.0000, 0.0000, 0.0000), Zr at (0.0000, 0.0000, 0.5000), Ta at (0.5000, 0.5000, 0.5000) and Cr at (0.0000, 0.5000, 0.0000).

(19)
KCr5Te8 | SCAN | PBEsol geometry

As for the uncorrected formation energy: -0.58 eV/atom. The value obtained for the density of states at the Fermi level is 7.0 states/eV/cell.

The structure belongs to space group C2/m (No. 12); the cell edges are 20.0699, 3.9290 and 9.3679 Å and the angles 90.00°, 104.28° and 90.00°. The inequivalent atoms are K at (0.0000, 0.0000, 0.0000), Cr at (0.0000, 0.5000, 0.5000), Cr at (0.1578, 0.0000, 0.4846), Cr at (0.2042, 0.0000, 0.8302), Te at (0.0720, 0.0000, 0.6661), Te at (0.0871, 0.5000, 0.3230), Te at (0.1695, 0.5000, 0.9930) and Te at (0.2394, 0.5000, 0.6570).

(20)
KCrTe | SCAN | PBEsol geometry

As for the uncorrected formation energy: -0.55 eV/atom. The value obtained for the density of states at the Fermi level is 0.4 states/eV/cell. The value obtained for the excess energy over the best structure of this formula in the dataset is 0 meV/atom.

The structure belongs to space group P-6m2 (No. 187); the cell edges are 4.6894, 4.6894 and 5.0330 Å and the angles 90.00°, 90.00° and 120.00°. The inequivalent atoms are K at (0.0000, 0.0000, 0.0000), Cr at (0.6667, 0.3333, 0.5000) and Te at (0.3333, 0.6667, 0.5000).

| no. | electronic total energy (eV/atom) |
| --- | --- |
| 1 | -16.49 |
| 2 | -11.00 |
| 3 | -10.61 |
| 4 | -9.92 |
| 5 | -10.77 |
| 6 | -22.35 |
| 7 | -17.53 |
| 8 | -17.41 |
| 9 | -15.83 |
| 10 | -24.12 |
| 11 | -39.03 |
| 12 | -18.23 |
| 13 | -27.28 |
| 14 | -27.04 |
| 15 | -38.64 |
| 16 | -24.56 |
| 17 | -38.81 |
| 18 | -26.16 |
| 19 | -29.03 |
| 20 | -21.87 |